(1)
Computed, not measured: CoIr3Br after structural relaxation at the PBE-GGA level of DFT.

Properties
* crystal system: cubic
* DFT total energy: -4.796 eV per atom
* total magnetization: 0.17 Bohr magnetons per cell
* formation energy without anion corrections: 2.277 eV/atom
* distance to the lowest polymorph of the same formula: 0.537 eV/atom

Unit cell a=4.5716 b=4.5716 c=4.5716 alpha=90.00 beta=90.00 gamma=90.00
Closest atoms and distances in Å follow each position.
Element x y z (fractional)
Ir1 0.0000 0.5000 0.0000  2 Br 2.29
Ir2 0.0000 0.0000 0.5000  2 Br 2.29
Ir3 0.5000 0.0000 0.0000  2 Br 2.29
Co1 0.5000 0.5000 0.5000  12 Ir 3.23
Br1 0.0000 0.0000 0.0000  6 Ir 2.29



(2)
Computed, not measured: Ag12H5I3 after structural relaxation at the PBE-GGA level of DFT.

Properties
* crystal system: cubic
* DFT total energy: -2.550 eV per atom
* total magnetization: 0.00 Bohr magnetons per cell

Unit cell a=12.4394 b=12.4394 c=12.4394 alpha=109.47 beta=109.47 gamma=109.47
Closest atoms and distances in Å follow each position.
Element x y z (fractional)
I1 0.7500 0.3750 0.1250  8 Ag 3.12-3.21
I2 0.8750 0.7500 0.1250  8 Ag 3.12-3.21
I3 0.3750 0.7500 0.6250  8 Ag 3.12-3.21
I4 0.2500 0.1250 0.3750  8 Ag 3.12-3.21
I5 0.8750 0.1250 0.2500  8 Ag 3.12-3.21
I6 0.3750 0.6250 0.2500  8 Ag 3.12-3.21
I7 0.6250 0.3750 0.7500  8 Ag 3.12-3.21
I8 0.1250 0.8750 0.7500  8 Ag 3.12-3.21
I9 0.7500 0.8750 0.6250  8 Ag 3.12-3.21
I10 0.6250 0.2500 0.3750  8 Ag 3.12-3.21
I11 0.1250 0.2500 0.8750  8 Ag 3.12-3.21
I12 0.2500 0.6250 0.8750  8 Ag 3.12-3.21
H1 0.1250 0.3750 0.2500  4 Ag 1.94
H2 0.0000 0.5000 0.0000  6 Ag 2.26
H3 0.0000 0.0000 0.0000  6 Ag 2.26
H4 0.3750 0.2500 0.1250  4 Ag 1.94
H5 0.5000 0.0000 0.5000  6 Ag 2.26
H6 0.5000 0.5000 0.0000  6 Ag 2.26
H7 0.1250 0.7500 0.3750  4 Ag 1.94
H8 0.7500 0.1250 0.8750  4 Ag 1.94
H9 0.7500 0.6250 0.3750  4 Ag 1.94
H10 0.3750 0.1250 0.7500  4 Ag 1.94
H11 0.6250 0.8750 0.2500  4 Ag 1.94
H12 0.5000 0.5000 0.5000  6 Ag 2.26
H13 0.5000 0.0000 0.0000  6 Ag 2.26
H14 0.0000 0.0000 0.5000  6 Ag 2.26
H15 0.2500 0.3750 0.6250  4 Ag 1.94
H16 0.2500 0.8750 0.1250  4 Ag 1.94
H17 0.0000 0.5000 0.5000  6 Ag 2.26
H18 0.8750 0.2500 0.6250  4 Ag 1.94
H19 0.6250 0.7500 0.8750  4 Ag 1.94
H20 0.8750 0.6250 0.7500  4 Ag 1.94
Ag1 0.6800 0.0744 0.9794  1 H 1.94
Ag2 0.2994 0.4794 0.4050  1 H 1.94
Ag3 0.0206 0.4256 0.3200  1 H 1.94
Ag4 0.4794 0.1800 0.0744  1 H 1.94
Ag5 0.6056 0.6800 0.7006  1 H 1.94
Ag6 0.0206 0.5950 0.2006  1 H 1.94
Ag7 0.2994 0.8200 0.3944  1 H 1.94
Ag8 0.0950 0.8944 0.0744  1 H 1.94
Ag9 0.5950 0.0206 0.7006  1 H 1.94
Ag10 0.6800 0.6056 0.2006  1 H 1.94
Ag11 0.8200 0.5206 0.4256  1 H 1.94
Ag12 0.7994 0.9050 0.9794  1 H 1.94
Ag13 0.0744 0.6800 0.4794  1 H 1.94
Ag14 0.4256 0.4050 0.1056  1 H 1.94
Ag15 0.1056 0.9050 0.4256  1 H 1.94
Ag16 0.3944 0.0744 0.5950  1 H 1.94
Ag17 0.1056 0.2006 0.1800  1 H 1.94
Ag18 0.5206 0.7006 0.0950  1 H 1.94
Ag19 0.7994 0.8944 0.3200  1 H 1.94
Ag20 0.0744 0.3944 0.0950  1 H 1.94
Ag21 0.4256 0.0206 0.8200  1 H 1.94
Ag22 0.5950 0.5744 0.3944  1 H 1.94
Ag23 0.9050 0.7994 0.4794  1 H 1.94
Ag24 0.8200 0.2994 0.8944  1 H 1.94
Ag25 0.4050 0.4256 0.6056  1 H 1.94
Ag26 0.0950 0.2006 0.5206  1 H 1.94
Ag27 0.1800 0.7006 0.1056  1 H 1.94
Ag28 0.2006 0.1056 0.6800  1 H 1.94
Ag29 0.5744 0.9794 0.1800  1 H 1.94
Ag30 0.9256 0.6056 0.9050  1 H 1.94
Ag31 0.4794 0.2994 0.9050  1 H 1.94
Ag32 0.6056 0.9256 0.4050  1 H 1.94
Ag33 0.8944 0.7994 0.8200  1 H 1.94
Ag34 0.8944 0.0950 0.5744  1 H 1.94
Ag35 0.9256 0.3200 0.5206  1 H 1.94
Ag36 0.2006 0.0950 0.0206  1 H 1.94
Ag37 0.5744 0.5950 0.8944  1 H 1.94
Ag38 0.4050 0.9794 0.2994  1 H 1.94
Ag39 0.3200 0.3944 0.7994  1 H 1.94
Ag40 0.1800 0.4794 0.5744  1 H 1.94
Ag41 0.9050 0.1056 0.9256  1 H 1.94
Ag42 0.7006 0.1800 0.6056  1 H 1.94
Ag43 0.5206 0.8200 0.9256  1 H 1.94
Ag44 0.9794 0.4050 0.7994  1 H 1.94
Ag45 0.3944 0.3200 0.2994  1 H 1.94
Ag46 0.9794 0.5744 0.6800  1 H 1.94
Ag47 0.7006 0.5206 0.5950  1 H 1.94
Ag48 0.3200 0.9256 0.0206  1 H 1.94



(3)
Computed, not measured: Rb2BPbCl6 after structural relaxation at the PBE-GGA level of DFT.

Properties
* crystal system: tetragonal
* DFT total energy: -3.308 eV per atom
* total magnetization: 0.00 Bohr magnetons per cell
* formation energy without anion corrections: -0.968 eV/atom

Unit cell a=7.5063 b=7.5063 c=7.2681 alpha=58.91 beta=58.91 gamma=90.00
Closest atoms and distances in Å follow each position.
Element x y z (fractional)
Pb1 0.0000 0.0000 0.0000  6 Cl 2.85-2.90
B1 0.5000 0.5000 0.0000  2 Cl 2.06
Rb1 0.7500 0.2500 0.5000  12 Cl 3.64-3.78
Rb2 0.2500 0.7500 0.5000  12 Cl 3.64-3.78
Cl1 0.2924 0.2924 0.4152  1 B 2.06
Cl2 0.7076 0.7076 0.5848  1 B 2.06
Cl3 0.2689 0.2689 0.0000  1 B 2.45
Cl4 0.7311 0.7311 0.0000  1 B 2.45
Cl5 0.7311 0.2689 0.0000  1 B 2.45
Cl6 0.2689 0.7311 0.0000  1 B 2.45



(4)
Computed, not measured: V6IrOs after structural relaxation at the PBE-GGA level of DFT.

Properties
* formation energy: -0.38 eV/atom
* crystal system: orthorhombic
* DFT total energy: -9.726 eV per atom
* total magnetization: 0.00 Bohr magnetons per cell
* distance to the lowest polymorph of the same formula: 0.046 eV/atom

Unit cell a=4.2393 b=5.2003 c=5.2003 alpha=109.22 beta=90.00 gamma=90.00
Closest atoms and distances in Å follow each position.
Element x y z (fractional)
V1 0.0000 0.1206 0.3710  4 V 2.58-2.62, 2 Ir 2.58-2.62, 2 Os 2.61
V2 0.0000 0.6290 0.8794  4 V 2.58-2.62, 2 Ir 2.58-2.62, 2 Os 2.61
V3 0.0000 0.6260 0.3740  8 V 2.57-2.62
V4 0.5000 0.3837 0.1329  4 V 2.56-2.64, 2 Os 2.57-2.63, 2 Ir 2.63
V5 0.5000 0.8671 0.6163  4 V 2.56-2.64, 2 Os 2.57-2.63, 2 Ir 2.63
V6 0.5000 0.8740 0.1260  8 V 2.56-2.64
Ir1 0.0000 0.1237 0.8763  8 V 2.58-2.63
Os1 0.5000 0.3755 0.6245  8 V 2.57-2.63



(5)
Computed, not measured: PbI after structural relaxation at the PBE-GGA level of DFT.

Properties
* crystal system: monoclinic
* DFT total energy: -2.885 eV per atom
* total magnetization: 0.00 Bohr magnetons per cell
* formation energy without anion corrections: -0.256 eV/atom

Unit cell a=4.3676 b=9.4984 c=9.1647 alpha=90.00 beta=117.08 gamma=90.00
Closest atoms and distances in Å follow each position.
Element x y z (fractional)
Pb1 0.1297 0.0000 0.2425  1 Pb 3.25, 4 I 3.27-3.31
Pb2 0.1297 0.5000 0.7425  1 Pb 3.25, 4 I 3.27-3.31
Pb3 0.8453 0.0000 0.5817  1 Pb 3.25, 4 I 3.32-3.39
Pb4 0.8453 0.5000 0.0817  1 Pb 3.25, 4 I 3.32-3.39
I1 0.6882 0.7451 0.2971  4 Pb 3.27-3.39
I2 0.6882 0.2549 0.2971  4 Pb 3.27-3.39
I3 0.6882 0.2451 0.7971  4 Pb 3.27-3.39
I4 0.6882 0.7549 0.7971  4 Pb 3.27-3.39



(6)
Computed, not measured: Sm4SnTe2S after structural relaxation at the PBE-GGA level of DFT.

Properties
* crystal system: orthorhombic
* DFT total energy: -5.551 eV per atom
* total magnetization: 0.00 Bohr magnetons per cell
* formation energy without anion corrections: -1.390 eV/atom

Unit cell a=8.7249 b=8.7249 c=8.7883 alpha=120.24 beta=120.24 gamma=90.04
Closest atoms and distances in Å follow each position.
Element x y z (fractional)
Sm1 0.2317 0.7554 0.9936  1 S 2.94, 2 Sn 3.05, 3 Te 3.13-3.23
Sm2 0.7446 0.2683 0.5064  1 S 2.94, 2 Sn 3.05, 3 Te 3.13-3.23
Sm3 0.2554 0.7317 0.4936  1 S 2.94, 2 Sn 3.05, 3 Te 3.13-3.23
Sm4 0.7683 0.2446 0.0064  1 S 2.94, 2 Sn 3.05, 3 Te 3.13-3.23
Sm5 0.7539 0.7462 0.9745  2 S 2.93, 1 Sn 3.05, 3 Te 3.14-3.25
Sm6 0.7538 0.7461 0.5255  2 S 2.93, 1 Sn 3.05, 3 Te 3.14-3.25
Sm7 0.2462 0.2539 0.4745  2 S 2.93, 1 Sn 3.05, 3 Te 3.14-3.25
Sm8 0.2461 0.2538 0.0255  2 S 2.93, 1 Sn 3.05, 3 Te 3.14-3.25
Sn1 0.0000 0.5000 0.0000  6 Sm 3.05
Sn2 0.0000 0.5000 0.5000  6 Sm 3.05
Te1 0.5000 0.0000 0.0000  6 Sm 3.13-3.14
Te2 0.5000 0.0000 0.5000  6 Sm 3.13-3.14
Te3 0.0000 0.0000 0.5000  6 Sm 3.23-3.25
Te4 0.5000 0.5000 0.0000  6 Sm 3.23-3.25
S1 0.5000 0.5000 0.5000  6 Sm 2.93-2.94
S2 0.0000 0.0000 0.0000  6 Sm 2.93-2.94